(1)
Here is crystalline Sc3H2 at its relaxed geometry from Alexandria. Energies are from PBE-GGA.

Output
total magnetic moment = 0.6 μB/f.u.
VASP energy = -109.73 eV/cell

Lattice parameters (Å, degrees): 5.7626 10.0183 5.7639 90.00 109.15 90.00
With the nearest neighbours (Å) after each atom.
Space group Cc (No. 9)
One atom of each set of equivalent atoms:
Sc: 0.0000 0.0835 0.0000  3 H 2.02-2.03
Sc: 0.0121 0.2468 0.4993  3 H 2.02-2.03
Sc: 0.0151 0.4139 0.0066  2 H 2.02
H: 0.3838 0.2500 0.6271  4 Sc 2.02-2.03
H: 0.3860 0.4163 0.1281  4 Sc 2.02-2.03

=====

(2)
Here is crystalline Sc3H2 at its relaxed geometry from Alexandria. Energies are from PBE-GGA.

Output
total magnetic moment = 0.0 μB/f.u.
VASP energy = -164.14 eV/cell

Lattice parameters (Å, degrees): 5.7502 5.7502 15.1142 90.00 90.00 120.00
With the nearest neighbours (Å) after each atom.
Space group R-3c (No. 167, hexagonal axes)
One atom of each set of equivalent atoms:
Sc: 0.0000 0.3333 0.0833  4 H 2.29-2.30
H: 0.0000 0.0000 0.1668  6 Sc 2.29-2.30, 1 H 2.51

=====

(3)
Here is crystalline ScH3 at its relaxed geometry from Alexandria. Energies are from PBE-GGA.

Output
total magnetic moment = 0.0 μB/f.u.
VASP energy = -17.79 eV/cell

Lattice parameters (Å, degrees): 3.0440 3.0440 3.0440 90.00 90.00 90.00
With the nearest neighbours (Å) after each atom.
Space group Pm-3m (No. 221)
One atom of each set of equivalent atoms:
Sc: 0.0000 0.0000 0.0000  12 H 2.15
H: 0.0000 0.5000 0.5000  8 H 2.15, 4 Sc 2.15

=====

(4)
Here is crystalline ScH3 at its relaxed geometry from Alexandria. Energies are from PBE-GGA.

Output
total magnetic moment = 0.0 μB/f.u.
VASP energy = -31.05 eV/cell

Lattice parameters (Å, degrees): 3.0750 3.0750 6.5838 90.00 90.00 90.00
With the nearest neighbours (Å) after each atom.
Space group I4/mmm (No. 139)
One atom of each set of equivalent atoms:
Sc: 0.0000 0.0000 0.0000  14 H 2.17-2.42
H: 0.0000 0.0000 0.3381  1 H 1.07
H: 0.0000 0.0000 0.5000  2 H 1.07

=====

(5)
Here is crystalline Sc3H at its relaxed geometry from Alexandria. Energies are from PBE-GGA.

Output
total magnetic moment = 0.0 μB/f.u.
VASP energy = -44.89 eV/cell

Lattice parameters (Å, degrees): 3.0361 9.0395 5.3570 90.00 90.00 90.00
With the nearest neighbours (Å) after each atom.
Space group Imm2 (No. 44)
One atom of each set of equivalent atoms:
Sc: 0.0000 0.0000 0.0000  2 H 2.28
Sc: 0.0000 0.1779 0.4819  2 H 2.38
H: 0.0000 0.5000 0.8181  6 Sc 2.28-2.38

=====

(6)
Here is crystalline ScH4 at its relaxed geometry from Alexandria. Energies are from PBE-GGA.

Output
total magnetic moment = 1.0 μB/f.u.
VASP energy = -18.27 eV/cell

Lattice parameters (Å, degrees): 3.8288 3.8288 3.8288 90.00 90.00 90.00
With the nearest neighbours (Å) after each atom.
Space group Pm-3m (No. 221)
One atom of each set of equivalent atoms:
Sc: 0.0000 0.0000 0.0000  6 H 1.91
H: 0.0000 0.0000 0.5000  2 Sc 1.91
H: 0.5000 0.5000 0.5000  12 H 2.71

=====

(7)
Here is crystalline Sc8H at its relaxed geometry from Alexandria. Energies are from PBE-GGA.

Output
total magnetic moment = 0.0 μB/f.u.
VASP energy = -54.80 eV/cell

Lattice parameters (Å, degrees): 6.6223 6.6223 5.1409 90.00 90.00 120.00
With the nearest neighbours (Å) after each atom.
Space group P-3m1 (No. 164)
One atom of each set of equivalent atoms:
Sc: 0.1662 0.3323 0.2484  1 H 2.30
Sc: 0.3333 0.6667 0.7441  12 Sc 3.19-3.31
H: 0.0000 0.0000 0.5000  6 Sc 2.30

=====

(8)
Here is crystalline Sc4H at its relaxed geometry from Alexandria. Energies are from PBE-GGA.

Output
total magnetic moment = 0.0 μB/f.u.
VASP energy = -29.38 eV/cell

Lattice parameters (Å, degrees): 4.5807 4.5807 4.5807 90.00 90.00 90.00
With the nearest neighbours (Å) after each atom.
Space group Pm-3m (No. 221)
One atom of each set of equivalent atoms:
Sc: 0.0000 0.0000 0.0000  12 Sc 3.24
Sc: 0.0000 0.5000 0.5000  2 H 2.29
H: 0.5000 0.5000 0.5000  6 Sc 2.29

=====

(9)
Here is crystalline ScH3 at its relaxed geometry from Alexandria. Energies are from PBE-GGA.

Output
total magnetic moment = 0.0 μB/f.u.
VASP energy = -37.07 eV/cell

Lattice parameters (Å, degrees): 3.3340 3.3340 6.0668 90.00 90.00 120.00
With the nearest neighbours (Å) after each atom.
Space group P6_3/mmc (No. 194)
One atom of each set of equivalent atoms:
Sc: 0.3333 0.6667 0.2500  11 H 1.92-2.15
H: 0.0000 0.0000 0.2500  3 Sc 1.92, 6 H 2.15
H: 0.3333 0.6667 0.5919  1 H 1.92, 1 Sc 2.07

=====

(10)
Here is crystalline ScHSe2 at its relaxed geometry from Alexandria. Energies are from PBE-GGA.

Output
total magnetic moment = 0.0 μB/f.u.
VASP energy = -314.76 eV/cell

Lattice parameters (Å, degrees): 12.7300 12.5981 9.4056 90.00 120.72 90.00
With the nearest neighbours (Å) after each atom.
Space group C2/c (No. 15)
One atom of each set of equivalent atoms:
Sc: 0.1065 0.0892 0.1776  1 H 1.97
Sc: 0.1885 0.3757 0.3124  1 H 1.96
H: 0.1726 0.0271 0.6070  2 Sc 1.96-1.97
H: 0.2360 0.3954 0.9974  1 Se 1.51
Se: 0.0000 0.0607 0.7500  2 Sc 2.61
Se: 0.0000 0.4890 0.7500  2 Se 2.61, 2 Sc 2.75
Se: 0.0784 0.2328 0.4225  2 Sc 2.73-2.79, 2 Se 2.81-2.93, 1 H 3.01
Se: 0.1867 0.4854 0.0517  1 H 1.51
Se: 0.2223 0.2771 0.7779  1 H 2.48, 2 Sc 2.59-2.61

=====

(11)
Here is crystalline ScHSe2 at its relaxed geometry from Alexandria. Energies are from PBE-GGA.

Output
total magnetic moment = 0.0 μB/f.u.
VASP energy = -82.68 eV/cell

Lattice parameters (Å, degrees): 5.6386 11.8156 5.2652 90.00 90.00 90.00
With the nearest neighbours (Å) after each atom.
Space group Ima2 (No. 46)
One atom of each set of equivalent atoms:
Sc: 0.2500 0.1386 0.0000  6 Se 2.59-2.87
H: 0.2500 0.6097 0.2066  1 Se 1.48
Se: 0.2500 0.1388 0.4913  3 Sc 2.59-2.68
Se: 0.2500 0.6042 0.4883  1 H 1.48

=====

(12)
Here is crystalline ScHSe2 at its relaxed geometry from Alexandria. Energies are from PBE-GGA.

Output
total magnetic moment = 0.0 μB/f.u.
VASP energy = -74.53 eV/cell

Lattice parameters (Å, degrees): 6.5255 6.5255 6.0778 90.00 90.00 90.00
With the nearest neighbours (Å) after each atom.
Space group I4/mcm (No. 140)
One atom of each set of equivalent atoms:
Sc: 0.0000 0.0000 0.2500  8 Se 2.86, 2 Sc 3.04
H: 0.0000 0.5000 0.2500  4 Se 2.19
Se: 0.1716 0.3284 0.0000  2 H 2.19

=====

(13)
Here is crystalline ScHSe2 at its relaxed geometry from Alexandria. Energies are from PBE-GGA.

Output
total magnetic moment = 0.0 μB/f.u.
VASP energy = -79.92 eV/cell

Lattice parameters (Å, degrees): 9.8149 3.6602 7.6496 90.00 101.94 90.00
With the nearest neighbours (Å) after each atom.
Space group C2/m (No. 12)
One atom of each set of equivalent atoms:
Sc: 0.2481 0.0000 0.3014  3 H 2.06-2.13
H: 0.2080 0.5000 0.4231  3 Sc 2.06-2.13, 2 H 2.24
Se: 0.0334 0.0000 0.6596  1 Se 2.39
Se: 0.1290 0.5000 0.0261  1 Se 2.48

=====

(14)
Here is crystalline ScHSe2 at its relaxed geometry from Alexandria. Energies are from PBE-GGA.

Output
total magnetic moment = 0.3 μB/f.u.
VASP energy = -17.68 eV/cell

Lattice parameters (Å, degrees): 4.3317 4.3317 3.6102 90.00 90.00 90.00
With the nearest neighbours (Å) after each atom.
Space group P4/mmm (No. 123)
One atom of each set of equivalent atoms:
Sc: 0.0000 0.0000 0.0000  8 Se 2.82, 4 H 3.06
H: 0.5000 0.5000 0.0000  8 Se 2.82, 4 Sc 3.06
Se: 0.0000 0.5000 0.5000  4 H 2.82, 4 Sc 2.82, 4 Se 3.06

=====

(15)
Here is crystalline ScHSe2 at its relaxed geometry from Alexandria. Energies are from PBE-GGA.

Output
total magnetic moment = 0.0 μB/f.u.
VASP energy = -82.04 eV/cell

Lattice parameters (Å, degrees): 7.0494 3.7569 12.0784 90.00 90.00 90.00
With the nearest neighbours (Å) after each atom.
Space group Pnma (No. 62)
One atom of each set of equivalent atoms:
Sc: 0.1205 0.2500 0.1209  5 Se 2.65-2.93
H: 0.0514 0.7500 0.3610  1 Se 1.49
Se: 0.0813 0.2500 0.7353  1 H 1.49
Se: 0.2172 0.7500 0.9774  3 Sc 2.65-2.66, 2 H 2.86

=====

(16)
Here is crystalline ScHSe2 at its relaxed geometry from Alexandria. Energies are from PBE-GGA.

Output
total magnetic moment = 0.0 μB/f.u.
VASP energy = -18.84 eV/cell

Lattice parameters (Å, degrees): 3.8615 3.8615 7.4435 90.00 90.00 120.00
With the nearest neighbours (Å) after each atom.
Space group P3m1 (No. 156)
One atom of each set of equivalent atoms:
Sc: 0.0000 0.0000 0.0000  4 Se 2.52-2.57
H: 0.6667 0.3333 0.3198  3 Se 2.23
Se: 0.0000 0.0000 0.3383  3 H 2.23
Se: 0.3333 0.6667 0.8281  3 Sc 2.57

=====

(17)
Here is crystalline ScHSe2 at its relaxed geometry from Alexandria. Energies are from PBE-GGA.

Output
total magnetic moment = 0.0 μB/f.u.
VASP energy = -80.87 eV/cell

Lattice parameters (Å, degrees): 6.6474 14.1222 3.9295 90.00 90.00 90.00
With the nearest neighbours (Å) after each atom.
Space group Cmcm (No. 63)
One atom of each set of equivalent atoms:
Sc: 0.0000 0.2118 0.2500  1 H 2.20
H: 0.0000 0.3675 0.2500  2 Se 1.77
Se: 0.2344 0.1353 0.7500  1 H 1.77

=====

(18)
Here is crystalline ScHSe at its relaxed geometry from Alexandria. Energies are from PBE-GGA.

Output
total magnetic moment = 0.0 μB/f.u.
VASP energy = -66.12 eV/cell

Lattice parameters (Å, degrees): 10.0703 3.5607 6.4751 90.00 129.06 90.00
With the nearest neighbours (Å) after each atom.
Space group C2/m (No. 12)
One atom of each set of equivalent atoms:
Sc: 0.2019 0.0000 0.2558  3 H 2.01
H: 0.2007 0.0000 0.5656  3 Sc 2.01
Se: 0.0575 0.5000 0.8229  5 Sc 2.77-2.93, 4 H 2.83-3.07

=====

(19)
Here is crystalline ScHSe2 at its relaxed geometry from Alexandria. Energies are from PBE-GGA.

Output
total magnetic moment = 0.0 μB/f.u.
VASP energy = -41.60 eV/cell

Lattice parameters (Å, degrees): 3.9712 7.0009 7.0270 71.85 89.28 89.87
With the nearest neighbours (Å) after each atom.
Space group P-1 (No. 2)
One atom of each set of equivalent atoms:
Sc: 0.2492 0.2223 0.4908  6 Se 2.64-2.81
H: 0.2560 0.7258 0.0763  1 Se 1.52
Se: 0.2454 0.8480 0.7311  1 H 2.31
Se: 0.2559 0.6409 0.3032  1 H 1.52

=====

(20)
Here is crystalline ScHSe2 at its relaxed geometry from Alexandria. Energies are from PBE-GGA.

Output
total magnetic moment = 0.0 μB/f.u.
VASP energy = -74.59 eV/cell

Lattice parameters (Å, degrees): 5.6736 20.8887 5.2221 90.00 90.00 90.00
With the nearest neighbours (Å) after each atom.
Space group Cmcm (No. 63)
One atom of each set of equivalent atoms:
Sc: 0.0000 0.0711 0.2500  4 Se 2.43-2.63
H: 0.0000 0.2577 0.2500  1 Se 1.47
Se: 0.0000 0.0550 0.7500  3 Sc 2.63
Se: 0.0000 0.1873 0.2500  1 H 1.47

=====

(21)
Here is crystalline Sc4HSe3 at its relaxed geometry from Alexandria. Energies are from PBE-GGA.

Output
total magnetic moment = 0.0 μB/f.u.
VASP energy = -96.53 eV/cell

Lattice parameters (Å, degrees): 8.3997 7.3969 5.4592 90.00 90.00 90.00
With the nearest neighbours (Å) after each atom.
Space group Pmn2_1 (No. 31)
One atom of each set of equivalent atoms:
Sc: 0.0000 0.1239 0.0000  1 H 2.11
Sc: 0.0000 0.8665 0.4912  1 H 2.03
Sc: 0.1977 0.7227 0.0015  1 H 2.08
H: 0.0000 0.8578 0.8631  4 Sc 2.03-2.11
Se: 0.0000 0.2167 0.5004  5 Sc 2.58-2.82
Se: 0.2443 0.6463 0.5006  5 Sc 2.62-2.82

=====

(22)
Here is crystalline ScH2Se at its relaxed geometry from Alexandria. Energies are from PBE-GGA.

Output
total magnetic moment = 0.0 μB/f.u.
VASP energy = -71.20 eV/cell

Lattice parameters (Å, degrees): 3.9482 3.9482 13.3027 90.00 90.00 90.00
With the nearest neighbours (Å) after each atom.
Space group I4_1/amd (No. 141, origin choice 2)
One atom of each set of equivalent atoms:
Sc: 0.0000 0.2500 0.3750  4 H 1.93
H: 0.0000 0.0000 0.5000  2 Sc 1.93, 2 H 1.97
Se: 0.0000 0.2500 0.8750  8 H 2.76, 4 Sc 2.79

=====

(23)
Here is crystalline Sc4H2Se5 at its relaxed geometry from Alexandria. Energies are from PBE-GGA.

Output
total magnetic moment = 0.0 μB/f.u.
VASP energy = -129.14 eV/cell

Lattice parameters (Å, degrees): 18.4417 3.7772 7.5788 90.00 103.63 90.00
With the nearest neighbours (Å) after each atom.
Space group C2/m (No. 12)
One atom of each set of equivalent atoms:
Sc: 0.0392 0.0000 0.2643  2 H 2.05
Sc: 0.1695 0.5000 0.5317  1 H 1.98
H: 0.0707 0.5000 0.3566  3 Sc 1.98-2.05
Se: 0.0000 0.5000 0.0000  2 H 2.71, 4 Sc 2.72
Se: 0.0948 0.0000 0.6568  4 Sc 2.64-2.91, 2 H 2.91
Se: 0.1889 0.0000 0.2864  4 Sc 2.65-2.73